# 1
The following is a DFT calculation (PBE-GGA) of crystalline Th5TcTe5 at its relaxed geometry.

Unit cell a=14.0700 b=6.2961 c=8.8452 alpha=90.00 beta=109.48 gamma=90.00
Space group C2/m (No. 12)
Symmetry-distinct sites (fractional):
Th 0.0000 0.0000 0.0000 (multiplicity 2)
Th 0.1460 0.5000 0.2938 (multiplicity 4)
Th 0.1514 0.5000 0.8563 (multiplicity 4)
Tc 0.0000 0.5000 0.0000 (multiplicity 2)
Te 0.0000 0.5000 0.5000 (multiplicity 2)
Te 0.1568 0.0000 0.8092 (multiplicity 4)
Te 0.1841 0.0000 0.3390 (multiplicity 4)

Properties
N(E_F): 20.045 states/eV/cell
Mass density: 8.525 g/cm3
Uncorrected formation energy: -0.97 eV/atom
M_tot: 0.00 Bohr magnetons per cell


# 2
The following is a DFT calculation (PBE-GGA) of crystalline Th2TcTe at its relaxed geometry.

Unit cell a=6.1495 b=6.1696 c=13.6610 alpha=90.00 beta=116.72 gamma=90.00
Space group P2/c (No. 13)
Symmetry-distinct sites (fractional):
Th 0.0955 0.2457 0.0957 (multiplicity 4)
Th 0.3466 0.2429 0.8470 (multiplicity 4)
Tc 0.1249 0.2433 0.6251 (multiplicity 4)
Te 0.3740 0.2576 0.3738 (multiplicity 4)

Properties
N(E_F): 11.739 states/eV/cell
Mass density: 9.895 g/cm3
Uncorrected formation energy: -0.48 eV/atom
M_tot: 0.00 Bohr magnetons per cell


# 3
The following is a DFT calculation (PBE-GGA) of crystalline Th6TcTe5 at its relaxed geometry.

Unit cell a=7.8662 b=13.3515 c=7.6101 alpha=90.00 beta=109.60 gamma=90.00
Space group C2/m (No. 12)
Symmetry-distinct sites (fractional):
Th 0.2120 0.0000 0.2480 (multiplicity 4)
Th 0.2191 0.1483 0.7203 (multiplicity 8)
Tc 0.0000 0.0000 0.5000 (multiplicity 2)
Te 0.0000 0.1893 0.0000 (multiplicity 4)
Te 0.0000 0.3404 0.5000 (multiplicity 4)
Te 0.0000 0.5000 0.0000 (multiplicity 2)

Properties
N(E_F): 18.676 states/eV/cell
Mass density: 9.387 g/cm3
Uncorrected formation energy: -0.95 eV/atom
M_tot: 0.00 Bohr magnetons per cell